! MgZnBr4 GGA-PBE relaxed; values from VASP
&SYSTEM
  ibrav = 0, nat = 12, ntyp = 3
/
ATOMIC_SPECIES
Br 79.90 Br.upf
Mg 24.30 Mg.upf
Zn 65.41 Zn.upf
ATOMIC_POSITIONS crystal
Br 0.9992 0.6639 0.3929
Br 0.0000 0.3284 0.1079
Br 0.0008 0.3361 0.6071
Br 0.5000 0.1716 0.3921
Mg 0.5000 0.5000 0.0000
Mg 0.0000 0.0000 0.5000
Br 0.0000 0.6716 0.8921
Zn 0.5000 0.5000 0.5000
Br 0.5008 0.1639 0.8929
Br 0.4992 0.8361 0.1071
Br 0.5000 0.8284 0.6079
Zn 0.0000 0.0000 0.0000
CELL_PARAMETERS angstrom
-2.6464 -2.6886 0.6177
1.0743 0.4481 6.5527
-9.8160 9.8956 1.0171
! Uncorrected formation energy in eV per atom: -1.138
! Raw total energy in eV per atom: -2.731
! Energy above the most stable polymorph in this dataset in eV/atom: 0.000